VASP calculation (PBE-GGA) on a geometry-optimized AgOsPt structure.

POSCAR file:
```
AgOsPt
1.0
0.0000 3.0245 3.0245
3.0245 0.0000 3.0245
3.0245 3.0245 0.0000
Ag Os Pt
1 1 1
Cartesian
1.5123 1.5123 1.5123
4.5367 4.5367 4.5367
0.0000 0.0000 0.0000
```

Calculated values
The symmetry is No. 216. The distance to the lowest polymorph of the same formula is 0.0 meV per atom. As for the formation energy: 0.929 eV per atom.